Computed, not measured: a geometry-optimized Sc2AlZn2 structure at the GGA-PBEsol level of DFT.

a b c (Å): 3.3769 3.3769 17.0592
angles (deg): 90.00 90.00 90.00
Space group I4/mmm (No. 139)
Asymmetric unit:
Sc: 0.0000 0.0000 0.1037
Al: 0.0000 0.0000 0.5000
Zn: 0.0000 0.5000 0.2500

## Properties
ΔH_f (0 K): -0.07 eV/atom
DOS at the Fermi energy: 0.925 states/eV/atom
Magnetization: 0.00 μB/f.u.

---

Computed, not measured: a geometry-optimized ZrSc2Al2 structure at the GGA-PBEsol level of DFT.

a b c (Å): 7.7802 7.7802 3.3266
angles (deg): 90.00 90.00 90.00
Space group P4/mbm (No. 127)
Asymmetric unit:
Zr: 0.0000 0.0000 0.0000
Sc: 0.1769 0.3231 0.5000
Al: 0.1215 0.6215 0.0000

## Properties
ΔH_f (0 K): -0.31 eV/atom
DOS at the Fermi energy: 1.130 states/eV/atom
Magnetization: 0.00 μB/f.u.

---

Computed, not measured: a geometry-optimized Zr2ScAl2 structure at the GGA-PBEsol level of DFT.

a b c (Å): 7.6574 7.6574 3.4439
angles (deg): 90.00 90.00 90.00
Space group P4/mbm (No. 127)
Asymmetric unit:
Zr: 0.1763 0.3237 0.0000
Sc: 0.0000 0.0000 0.5000
Al: 0.1210 0.6210 0.5000

## Properties
ΔH_f (0 K): -0.36 eV/atom
DOS at the Fermi energy: 1.217 states/eV/atom
Magnetization: 0.00 μB/f.u.

---

Computed, not measured: a geometry-optimized ZrScAl structure at the GGA-PBEsol level of DFT.

a b c (Å): 3.0985 4.0767 9.4580
angles (deg): 90.00 90.00 90.00
Space group Imm2 (No. 44)
Asymmetric unit:
Zr: 0.0000 0.0000 0.0000
Sc: 0.0000 0.0000 0.3155
Al: 0.0000 0.0000 0.6591

## Properties
ΔH_f (0 K): -0.25 eV/atom
Energy above the lowest structure with this stoichiometry: 0.053 eV per atom
DOS at the Fermi energy: 1.459 states/eV/atom
Magnetization: 0.01 μB/f.u.

---

Computed, not measured: a geometry-optimized ZrScAl structure at the GGA-PBEsol level of DFT.

a b c (Å): 3.1536 3.1536 12.2193
angles (deg): 90.00 90.00 90.00
Space group I4mm (No. 107)
Asymmetric unit:
Zr: 0.0000 0.0000 0.0000
Sc: 0.0000 0.0000 0.3181
Al: 0.0000 0.0000 0.6575

## Properties
ΔH_f (0 K): -0.30 eV/atom
Energy above the lowest structure with this stoichiometry: 0.000 eV per atom
DOS at the Fermi energy: 0.632 states/eV/atom
Magnetization: 0.00 μB/f.u.

---

Computed, not measured: a geometry-optimized Zr3ScAl structure at the GGA-PBEsol level of DFT.

a b c (Å): 5.0194 5.0194 5.0194
angles (deg): 90.00 90.00 90.00
Space group Pm-3m (No. 221)
Asymmetric unit:
Zr: 0.0000 0.0000 0.5000
Sc: 0.5000 0.5000 0.5000
Al: 0.0000 0.0000 0.0000

## Properties
ΔH_f (0 K): 0.62 eV/atom
DOS at the Fermi energy: 2.024 states/eV/atom
Magnetization: 0.00 μB/f.u.

---

> Among the records above, which one has the lowest DOS at the Fermi energy?

number 5

---

> What is the formula in the sixth record?

Zr3ScAl

---

> Among the records above, which one has the highest ΔH_f (0 K)?

Zr3ScAl